# 1
YbHg3: optimized geometry, GGA-PBE.

* DFT formation energy: -44 kJ/mol of atoms
* M_tot: 0.000 μB/atom
* density of states at the Fermi level: 3.2 states/eV/cell

abc: 5.216 6.621 6.620
angles: 120.03 90.00 90.00
Fractional positions:
Hg1 0.250 0.291 0.957
Hg2 0.750 0.959 0.791
Hg3 0.750 0.457 0.791
Hg4 0.250 0.793 0.459
Hg5 0.750 0.959 0.293
Hg6 0.250 0.291 0.459
Yb1 0.750 0.458 0.292
Yb2 0.250 0.792 0.958

# 2
TcSbAs2: optimized geometry, GGA-PBE.

* E: -5.4211 eV per atom
* M_tot: 0.000 μB/atom
* density of states at the Fermi level: 3.7 states/eV/cell

abc: 4.816 4.816 3.339
angles: 90.00 90.00 105.80
Fractional positions:
As1 0.500 0.500 0.000
As2 0.000 0.000 0.000
Sb1 0.500 0.000 0.500
Tc1 0.000 0.500 0.500

- Which of these has the highest density of states at the Fermi level?
  TcSbAs2

- What is the M_tot in the first record?
  0.000 μB/atom

- What is the M_tot in the second record?
  0.000 μB/atom

- Among the records above, which one has the highest density of states at the Fermi level?
  TcSbAs2